Record 1
K2SbPt after structural relaxation. Source: Alexandria, functional GGA-PBEsol.

Calculated values
Its crystal system is trigonal. The uncorrected formation energy comes out at -30.1 kJ per mole of atoms. Its space group is R3m.

```
data_K2SbPt
_space_group_name_H-M_alt 'P 1'
_space_group_IT_number 1
_cell_length_a 4.6388
_cell_length_b 4.6388
_cell_length_c 7.0467
_cell_angle_alpha 70.78
_cell_angle_beta 70.78
_cell_angle_gamma 60.00
loop_
_space_group_symop_operation_xyz
'x,y,z'
loop_
_atom_site_label
_atom_site_type_symbol
_atom_site_fract_x
_atom_site_fract_y
_atom_site_fract_z
_atom_site_occupancy
Sb1 Sb 0.7890 0.7890 0.6331 1
K1 K 0.0174 0.0174 0.9479 1
K2 K 0.2269 0.2269 0.3192 1
Pt1 Pt 0.4542 0.4542 0.6373 1
```

=====

Record 2
Li3N after structural relaxation. Source: Alexandria, functional GGA-PBEsol.

Calculated values
Its crystal system is hexagonal. The uncorrected formation energy comes out at -40.9 kJ per mole of atoms. Its space group is P6/mmm.

```
data_Li3N
_space_group_name_H-M_alt 'P 1'
_space_group_IT_number 1
_cell_length_a 3.6041
_cell_length_b 3.6041
_cell_length_c 3.8447
_cell_angle_alpha 90.00
_cell_angle_beta 90.00
_cell_angle_gamma 120.00
loop_
_space_group_symop_operation_xyz
'x,y,z'
loop_
_atom_site_label
_atom_site_type_symbol
_atom_site_fract_x
_atom_site_fract_y
_atom_site_fract_z
_atom_site_occupancy
N1 N 0.0000 0.0000 0.0000 1
Li1 Li 0.0000 0.0000 0.5000 1
Li2 Li 0.3333 0.6667 0.0000 1
Li3 Li 0.6667 0.3333 0.0000 1
```

=====

Record 3
Li7RuN4 after structural relaxation. Source: Alexandria, functional GGA-PBEsol.

Calculated values
Its crystal system is cubic. The uncorrected formation energy comes out at -40.4 kJ per mole of atoms. Its space group is P-43n.

```
data_Li7RuN4
_space_group_name_H-M_alt 'P 1'
_space_group_IT_number 1
_cell_length_a 9.6292
_cell_length_b 9.6292
_cell_length_c 9.6292
_cell_angle_alpha 90.00
_cell_angle_beta 90.00
_cell_angle_gamma 90.00
loop_
_space_group_symop_operation_xyz
'x,y,z'
loop_
_atom_site_label
_atom_site_type_symbol
_atom_site_fract_x
_atom_site_fract_y
_atom_site_fract_z
_atom_site_occupancy
Li1 Li 0.0000 0.0000 0.5000 1
Li2 Li 0.0000 0.5000 0.0000 1
Li3 Li 0.5000 0.0000 0.0000 1
Li4 Li 0.5000 0.0000 0.5000 1
Li5 Li 0.5000 0.5000 0.0000 1
Li6 Li 0.0000 0.5000 0.5000 1
Li7 Li 0.0000 0.5000 0.2500 1
Li8 Li 0.5000 0.7500 0.0000 1
Li9 Li 0.2500 0.0000 0.5000 1
Li10 Li 0.5000 0.2500 0.0000 1
Li11 Li 0.7500 0.0000 0.5000 1
Li12 Li 0.0000 0.5000 0.7500 1
Li13 Li 0.2658 0.7342 0.2658 1
Li14 Li 0.7342 0.2658 0.2658 1
Li15 Li 0.2658 0.2658 0.7342 1
Li16 Li 0.7342 0.7342 0.7342 1
Li17 Li 0.7658 0.7658 0.2342 1
Li18 Li 0.2342 0.7658 0.7658 1
Li19 Li 0.7658 0.2342 0.7658 1
Li20 Li 0.2342 0.2342 0.2342 1
Li21 Li 0.5000 0.5000 0.2364 1
Li22 Li 0.5000 0.7636 0.5000 1
Li23 Li 0.2364 0.5000 0.5000 1
Li24 Li 0.5000 0.2364 0.5000 1
Li25 Li 0.7636 0.5000 0.5000 1
Li26 Li 0.5000 0.5000 0.7636 1
Li27 Li 0.0000 0.7364 0.0000 1
Li28 Li 0.0000 0.0000 0.2636 1
Li29 Li 0.7364 0.0000 0.0000 1
Li30 Li 0.0000 0.0000 0.7364 1
Li31 Li 0.2636 0.0000 0.0000 1
Li32 Li 0.0000 0.2636 0.0000 1
Li33 Li 0.5171 0.7374 0.2481 1
Li34 Li 0.2626 0.7519 0.5171 1
Li35 Li 0.2481 0.4829 0.2626 1
Li36 Li 0.4829 0.2626 0.2481 1
Li37 Li 0.7374 0.2481 0.5171 1
Li38 Li 0.7519 0.5171 0.2626 1
Li39 Li 0.5171 0.2626 0.7519 1
Li40 Li 0.2626 0.2481 0.4829 1
Li41 Li 0.2481 0.5171 0.7374 1
Li42 Li 0.4829 0.7374 0.7519 1
Li43 Li 0.7374 0.7519 0.4829 1
Li44 Li 0.7519 0.4829 0.7374 1
Li45 Li 0.0171 0.7481 0.2374 1
Li46 Li 0.7626 0.0171 0.2519 1
Li47 Li 0.7481 0.7626 0.9829 1
Li48 Li 0.9829 0.7481 0.7626 1
Li49 Li 0.2374 0.0171 0.7481 1
Li50 Li 0.2519 0.7626 0.0171 1
Li51 Li 0.0171 0.2519 0.7626 1
Li52 Li 0.7626 0.9829 0.7481 1
Li53 Li 0.7481 0.2374 0.0171 1
Li54 Li 0.9829 0.2519 0.2374 1
Li55 Li 0.2374 0.9829 0.2519 1
Li56 Li 0.2519 0.2374 0.9829 1
Ru1 Ru 0.5000 0.5000 0.5000 1
Ru2 Ru 0.0000 0.0000 0.0000 1
Ru3 Ru 0.5000 0.0000 0.2500 1
Ru4 Ru 0.0000 0.7500 0.5000 1
Ru5 Ru 0.2500 0.5000 0.0000 1
Ru6 Ru 0.0000 0.2500 0.5000 1
Ru7 Ru 0.7500 0.5000 0.0000 1
Ru8 Ru 0.5000 0.0000 0.7500 1
N1 N 0.3857 0.6143 0.3857 1
N2 N 0.6143 0.3857 0.3857 1
N3 N 0.3857 0.3857 0.6143 1
N4 N 0.6143 0.6143 0.6143 1
N5 N 0.8857 0.8857 0.1143 1
N6 N 0.1143 0.8857 0.8857 1
N7 N 0.8857 0.1143 0.8857 1
N8 N 0.1143 0.1143 0.1143 1
N9 N 0.3867 0.8783 0.1388 1
N10 N 0.1217 0.8612 0.3867 1
N11 N 0.1388 0.6133 0.1217 1
N12 N 0.6133 0.1217 0.1388 1
N13 N 0.8783 0.1388 0.3867 1
N14 N 0.8612 0.3867 0.1217 1
N15 N 0.3867 0.1217 0.8612 1
N16 N 0.1217 0.1388 0.6133 1
N17 N 0.1388 0.3867 0.8783 1
N18 N 0.6133 0.8783 0.8612 1
N19 N 0.8783 0.8612 0.6133 1
N20 N 0.8612 0.6133 0.8783 1
N21 N 0.8867 0.6388 0.3783 1
N22 N 0.6217 0.8867 0.3612 1
N23 N 0.6388 0.6217 0.1133 1
N24 N 0.1133 0.6388 0.6217 1
N25 N 0.3783 0.8867 0.6388 1
N26 N 0.3612 0.6217 0.8867 1
N27 N 0.8867 0.3612 0.6217 1
N28 N 0.6217 0.1133 0.6388 1
N29 N 0.6388 0.3783 0.8867 1
N30 N 0.1133 0.3612 0.3783 1
N31 N 0.3783 0.1133 0.3612 1
N32 N 0.3612 0.3783 0.1133 1
```

=====

Record 4
SrLiCl2 after structural relaxation. Source: Alexandria, functional GGA-PBEsol.

Calculated values
Its crystal system is orthorhombic. The value obtained for the relative energy among the computed polymorphs is 12 meV/atom. The uncorrected formation energy comes out at -156.3 kJ per mole of atoms. Its space group is Cmm2.

```
data_SrLiCl2
_space_group_name_H-M_alt 'P 1'
_space_group_IT_number 1
_cell_length_a 4.2406
_cell_length_b 4.1889
_cell_length_c 8.0219
_cell_angle_alpha 90.00
_cell_angle_beta 90.00
_cell_angle_gamma 120.41
loop_
_space_group_symop_operation_xyz
'x,y,z'
loop_
_atom_site_label
_atom_site_type_symbol
_atom_site_fract_x
_atom_site_fract_y
_atom_site_fract_z
_atom_site_occupancy
Cl1 Cl 0.0000 0.0000 0.0144 1
Cl2 Cl 0.5000 0.0000 0.4147 1
Li1 Li 0.0000 0.0000 0.3019 1
Sr1 Sr 0.5000 0.0000 0.7691 1
```

=====

Record 5
SrTl2W after structural relaxation. Source: Alexandria, functional GGA-PBEsol.

Calculated values
As for the formation energy: 1.031 eV/atom. Its crystal system is cubic. The value obtained for the relative energy among the computed polymorphs is 468 meV/atom. Its space group is F-43m.

```
data_SrTl2W
_space_group_name_H-M_alt 'P 1'
_space_group_IT_number 1
_cell_length_a 5.2943
_cell_length_b 5.2943
_cell_length_c 5.2943
_cell_angle_alpha 60.00
_cell_angle_beta 60.00
_cell_angle_gamma 60.00
loop_
_space_group_symop_operation_xyz
'x,y,z'
loop_
_atom_site_label
_atom_site_type_symbol
_atom_site_fract_x
_atom_site_fract_y
_atom_site_fract_z
_atom_site_occupancy
Sr1 Sr 0.5000 0.5000 0.5000 1
Tl1 Tl 0.0000 0.0000 0.0000 1
Tl2 Tl 0.7500 0.7500 0.7500 1
W1 W 0.2500 0.2500 0.2500 1
```

=====

Record 6
Ca2InAu after structural relaxation. Source: Alexandria, functional GGA-PBEsol.

Calculated values
As for the formation energy: -0.618 eV/atom. Its crystal system is tetragonal. Its space group is P4/mmm.

```
data_Ca2InAu
_space_group_name_H-M_alt 'P 1'
_space_group_IT_number 1
_cell_length_a 3.6113
_cell_length_b 3.6134
_cell_length_c 7.6389
_cell_angle_alpha 90.00
_cell_angle_beta 90.02
_cell_angle_gamma 90.00
loop_
_space_group_symop_operation_xyz
'x,y,z'
loop_
_atom_site_label
_atom_site_type_symbol
_atom_site_fract_x
_atom_site_fract_y
_atom_site_fract_z
_atom_site_occupancy
Ca1 Ca 0.9996 0.0000 0.7268 1
Ca2 Ca 0.0004 0.0000 0.2732 1
Au1 Au 0.5000 0.5000 0.5000 1
In1 In 0.5000 0.5000 0.0000 1
```

=====

Record 7
RbGeTeI2 after structural relaxation. Source: Alexandria, functional GGA-PBEsol.

Calculated values
Its crystal system is tetragonal. The uncorrected formation energy comes out at 68.0 kJ per mole of atoms. Its space group is P4/mmm.

```
data_RbGeTeI2
_space_group_name_H-M_alt 'P 1'
_space_group_IT_number 1
_cell_length_a 6.3312
_cell_length_b 6.3682
_cell_length_c 6.3682
_cell_angle_alpha 90.00
_cell_angle_beta 90.00
_cell_angle_gamma 90.00
loop_
_space_group_symop_operation_xyz
'x,y,z'
loop_
_atom_site_label
_atom_site_type_symbol
_atom_site_fract_x
_atom_site_fract_y
_atom_site_fract_z
_atom_site_occupancy
I1 I 0.0000 0.0000 0.5000 1
I2 I 0.0000 0.5000 0.0000 1
Ge1 Ge 0.5000 0.5000 0.5000 1
Te1 Te 0.5000 0.0000 0.0000 1
Rb1 Rb 0.0000 0.0000 0.0000 1
```

=====

Record 8
TaNi2W after structural relaxation. Source: Alexandria, functional GGA-PBEsol.

Calculated values
As for the formation energy: -0.080 eV/atom. Its crystal system is monoclinic. Its space group is Pm.

```
data_TaNi2W
_space_group_name_H-M_alt 'P 1'
_space_group_IT_number 1
_cell_length_a 2.6518
_cell_length_b 4.2855
_cell_length_c 4.7033
_cell_angle_alpha 90.00
_cell_angle_beta 94.53
_cell_angle_gamma 90.00
loop_
_space_group_symop_operation_xyz
'x,y,z'
loop_
_atom_site_label
_atom_site_type_symbol
_atom_site_fract_x
_atom_site_fract_y
_atom_site_fract_z
_atom_site_occupancy
Ni1 Ni 0.8843 0.0000 0.9653 1
Ni2 Ni 0.8699 0.5000 0.2793 1
W1 W 0.2935 0.5000 0.8067 1
Ta1 Ta 0.4522 0.0000 0.4487 1
```